[1]
Here is a geometry-optimized Tm3Ge3Ir2 structure from Alexandria. Energies are from PBE.

Results
The formation energy is -0.880 eV per atom. The value obtained for the mass density is 11.5 g/cm3. The value obtained for the energy above the most stable polymorph in this dataset is 54 meV/atom. The symmetry is Pnma, No. 62. The density of states at the Fermi level is 16.04 states/eV per cell. Its final energy is -208.12 eV/cell. The calculation puts the total magnetization at 0.00 μB per cell.

Geometry as POSCAR:
```
Tm3Ge3Ir2
1.0
8.126 0.000 0.000
0.000 14.098 0.000
0.000 0.000 5.585
Tm Ge Ir
12 12 8
direct
0.043 0.114 0.117
0.043 0.386 0.117
0.190 0.250 0.635
0.310 0.750 0.135
0.457 0.614 0.617
0.457 0.886 0.617
0.543 0.114 0.383
0.543 0.386 0.383
0.690 0.250 0.865
0.810 0.750 0.365
0.957 0.614 0.883
0.957 0.886 0.883
0.166 0.750 0.615
0.204 0.037 0.625
0.204 0.463 0.625
0.296 0.537 0.125
0.296 0.963 0.125
0.334 0.250 0.115
0.666 0.750 0.885
0.704 0.037 0.875
0.704 0.463 0.875
0.796 0.537 0.375
0.796 0.963 0.375
0.834 0.250 0.385
0.075 0.599 0.382
0.075 0.901 0.382
0.425 0.099 0.882
0.425 0.401 0.882
0.575 0.599 0.118
0.575 0.901 0.118
0.925 0.099 0.618
0.925 0.401 0.618
```

[2]
Here is a geometry-optimized Tm2GeIr structure from Alexandria. Energies are from PBE.

Results
The formation energy is -0.567 eV per atom. The value obtained for the mass density is 10.7 g/cm3. The symmetry is R-3m, No. 166. The density of states at the Fermi level is 2.15 states/eV per cell. Its final energy is -24.69 eV/cell. The calculation puts the total magnetization at 0.00 μB per cell.

Geometry as POSCAR:
```
Tm2GeIr
1.0
1.922 1.110 7.333
-1.922 1.110 7.333
0.000 -2.219 7.333
Tm Ge Ir
2 1 1
direct
0.242 0.242 0.242
0.758 0.758 0.758
0.000 0.000 0.000
0.500 0.500 0.500
```

[3]
Here is a geometry-optimized Tm4Ge3Ir structure from Alexandria. Energies are from PBE.

Results
The formation energy is -0.852 eV per atom. The value obtained for the mass density is 10.3 g/cm3. The symmetry is Pmm2, No. 25. The density of states at the Fermi level is 5.40 states/eV per cell. Its final energy is -47.41 eV/cell. The calculation puts the total magnetization at 0.00 μB per cell.

Geometry as POSCAR:
```
Tm4Ge3Ir
1.0
3.981 0.000 0.000
0.000 4.126 0.000
0.000 0.000 10.619
Tm Ge Ir
4 3 1
direct
0.000 0.000 0.000
0.000 0.500 0.483
0.500 0.000 0.710
0.500 0.500 0.215
0.000 0.500 0.765
0.500 0.000 0.434
0.500 0.500 0.930
0.000 0.000 0.271
```

[4]
Here is a geometry-optimized Tm7Ge2Ir2 structure from Alexandria. Energies are from PBE.

Results
The formation energy is -0.551 eV per atom. The value obtained for the mass density is 9.5 g/cm3. The symmetry is Cmmm, No. 65. The density of states at the Fermi level is 3.95 states/eV per cell. Its final energy is -64.31 eV/cell. The calculation puts the total magnetization at 0.00 μB per cell.

Geometry as POSCAR:
```
Tm7Ge2Ir2
1.0
4.331 -5.047 0.000
4.331 5.047 0.000
0.000 0.000 6.870
Tm Ge Ir
7 2 2
direct
0.000 0.000 0.000
0.000 0.500 0.249
0.000 0.500 0.751
0.500 0.000 0.249
0.500 0.000 0.751
0.500 0.500 0.243
0.500 0.500 0.757
0.228 0.228 0.500
0.772 0.772 0.500
0.278 0.722 0.000
0.722 0.278 0.000
```

[5]
Here is a geometry-optimized Tm3Ge3Ir2 structure from Alexandria. Energies are from PBE.

Results
The formation energy is -0.934 eV per atom. The value obtained for the mass density is 11.7 g/cm3. The value obtained for the energy above the most stable polymorph in this dataset is 0 meV/atom. The symmetry is Cmcm, No. 63. The density of states at the Fermi level is 5.99 states/eV per cell. Its final energy is -104.93 eV/cell. The calculation puts the total magnetization at 0.00 μB per cell.

Geometry as POSCAR:
```
Tm3Ge3Ir2
1.0
2.152 -5.176 0.000
2.152 5.176 0.000
0.000 0.000 14.157
Tm Ge Ir
6 6 4
direct
0.084 0.916 0.610
0.084 0.916 0.890
0.357 0.643 0.750
0.643 0.357 0.250
0.916 0.084 0.110
0.916 0.084 0.390
0.347 0.653 0.250
0.377 0.623 0.535
0.377 0.623 0.965
0.623 0.377 0.035
0.623 0.377 0.465
0.653 0.347 0.750
0.200 0.800 0.103
0.200 0.800 0.397
0.800 0.200 0.603
0.800 0.200 0.897
```

[6]
Here is a geometry-optimized Tm5Ge10Ir4 structure from Alexandria. Energies are from PBE.

Results
The formation energy is -0.754 eV per atom. The value obtained for the mass density is 10.7 g/cm3. The symmetry is P4/mbm, No. 127. The density of states at the Fermi level is 17.75 states/eV per cell. Its final energy is -236.62 eV/cell. The calculation puts the total magnetization at 0.00 μB per cell.

Geometry as POSCAR:
```
Tm5Ge10Ir4
1.0
12.977 0.000 0.000
0.000 12.977 0.000
0.000 0.000 4.302
Tm Ge Ir
10 20 8
direct
0.000 0.000 0.000
0.115 0.385 0.500
0.173 0.673 0.500
0.327 0.173 0.500
0.385 0.885 0.500
0.500 0.500 0.000
0.615 0.115 0.500
0.673 0.827 0.500
0.827 0.327 0.500
0.885 0.615 0.500
0.005 0.845 0.500
0.067 0.567 0.000
0.155 0.005 0.500
0.165 0.200 0.000
0.200 0.835 0.000
0.300 0.335 0.000
0.335 0.700 0.000
0.345 0.505 0.500
0.433 0.067 0.000
0.495 0.345 0.500
0.505 0.655 0.500
0.567 0.933 0.000
0.655 0.495 0.500
0.665 0.300 0.000
0.700 0.665 0.000
0.800 0.165 0.000
0.835 0.800 0.000
0.845 0.995 0.500
0.933 0.433 0.000
0.995 0.155 0.500
0.019 0.753 0.000
0.247 0.019 0.000
0.253 0.519 0.000
0.481 0.253 0.000
0.519 0.747 0.000
0.747 0.481 0.000
0.753 0.981 0.000
0.981 0.247 0.000
```

[7]
Here is a geometry-optimized U4Ge8Ir structure from Alexandria. Energies are from PBE.

Results
The formation energy is -0.242 eV per atom. The value obtained for the mass density is 10.9 g/cm3. The symmetry is Pmm2, No. 25. The density of states at the Fermi level is 21.79 states/eV per cell. Its final energy is -94.10 eV/cell. The calculation puts the total magnetization at 8.07 μB per cell.

Geometry as POSCAR:
```
U4Ge8Ir
1.0
4.047 0.000 0.000
0.000 4.149 0.000
0.000 0.000 15.706
U Ge Ir
4 8 1
direct
0.000 0.000 0.000
0.000 0.500 0.479
0.500 0.000 0.786
0.500 0.500 0.285
0.000 0.000 0.322
0.000 0.000 0.614
0.000 0.500 0.142
0.000 0.500 0.859
0.500 0.000 0.144
0.500 0.000 0.436
0.500 0.500 0.613
0.500 0.500 0.964
0.000 0.500 0.704
```

[8]
Here is a geometry-optimized UGe2Ir2 structure from Alexandria. Energies are from PBE.

Results
The formation energy is -0.422 eV per atom. The value obtained for the mass density is 14.3 g/cm3. The value obtained for the energy above the most stable polymorph in this dataset is 49 meV/atom. The symmetry is I4/mmm, No. 139. The density of states at the Fermi level is 9.28 states/eV per cell. Its final energy is -40.35 eV/cell. The calculation puts the total magnetization at 2.51 μB per cell.

Geometry as POSCAR:
```
UGe2Ir2
1.0
-2.062 2.062 5.232
2.062 -2.062 5.232
2.062 2.062 -5.232
U Ge Ir
1 2 2
direct
0.000 0.000 0.000
0.382 0.382 0.000
0.618 0.618 0.000
0.250 0.750 0.500
0.750 0.250 0.500
```

[9]
Here is a geometry-optimized UGeIr structure from Alexandria. Energies are from PBE.

Results
The formation energy is -0.566 eV per atom. The value obtained for the mass density is 14.8 g/cm3. The symmetry is Pmmn, No. 59. The density of states at the Fermi level is 38.22 states/eV per cell. Its final energy is -211.72 eV/cell. The calculation puts the total magnetization at 13.11 μB per cell.

Geometry as POSCAR:
```
UGeIr
1.0
4.368 0.000 0.000
0.000 13.467 0.000
0.000 0.000 7.657
U Ge Ir
8 8 8
direct
0.250 0.003 0.213
0.250 0.250 0.293
0.250 0.497 0.213
0.250 0.750 0.295
0.750 0.250 0.705
0.750 0.503 0.787
0.750 0.750 0.707
0.750 0.997 0.787
0.250 0.103 0.588
0.250 0.397 0.588
0.250 0.651 0.915
0.250 0.849 0.915
0.750 0.151 0.085
0.750 0.349 0.085
0.750 0.603 0.412
0.750 0.897 0.412
0.250 0.134 0.918
0.250 0.366 0.918
0.250 0.605 0.586
0.250 0.895 0.586
0.750 0.105 0.414
0.750 0.395 0.414
0.750 0.634 0.082
0.750 0.866 0.082
```

[10]
Here is a geometry-optimized UGe2Ir2 structure from Alexandria. Energies are from PBE.

Results
The formation energy is -0.471 eV per atom. The value obtained for the mass density is 14.1 g/cm3. The value obtained for the energy above the most stable polymorph in this dataset is 0 meV/atom. The symmetry is P4/nmm, No. 129. The density of states at the Fermi level is 16.34 states/eV per cell. Its final energy is -81.20 eV/cell. The calculation puts the total magnetization at 4.39 μB per cell.

Geometry as POSCAR:
```
UGe2Ir2
1.0
4.204 0.000 0.000
0.000 4.204 0.000
0.000 0.000 10.205
U Ge Ir
2 4 4
direct
0.250 0.250 0.243
0.750 0.750 0.757
0.250 0.250 0.632
0.250 0.750 0.000
0.750 0.250 0.000
0.750 0.750 0.368
0.250 0.250 0.868
0.250 0.750 0.500
0.750 0.250 0.500
0.750 0.750 0.132
```

[11]
Here is a geometry-optimized U2Ge5Ir3 structure from Alexandria. Energies are from PBE.

Results
The formation energy is -0.456 eV per atom. The value obtained for the mass density is 13.1 g/cm3. The symmetry is Cmc2_1, No. 36. The density of states at the Fermi level is 26.58 states/eV per cell. Its final energy is -153.60 eV/cell. The calculation puts the total magnetization at 6.93 μB per cell.

Geometry as POSCAR:
```
U2Ge5Ir3
1.0
2.146 -12.372 0.000
2.146 12.372 0.000
0.000 0.000 6.765
U Ge Ir
4 10 6
direct
0.020 0.980 0.500
0.329 0.671 0.472
0.671 0.329 0.972
0.980 0.020 0.000
0.101 0.899 0.142
0.207 0.793 0.678
0.209 0.791 0.253
0.380 0.620 0.013
0.451 0.549 0.336
0.549 0.451 0.836
0.620 0.380 0.513
0.791 0.209 0.753
0.793 0.207 0.178
0.899 0.101 0.642
0.105 0.895 0.758
0.278 0.722 0.962
0.448 0.552 0.722
0.552 0.448 0.222
0.722 0.278 0.462
0.895 0.105 0.258
```

[12]
Here is a geometry-optimized U3Ge3Ir2 structure from Alexandria. Energies are from PBE.

Results
The formation energy is -0.435 eV per atom. The value obtained for the mass density is 13.7 g/cm3. The symmetry is Pnma, No. 62. The density of states at the Fermi level is 59.84 states/eV per cell. Its final energy is -275.68 eV/cell. The calculation puts the total magnetization at 23.10 μB per cell.

Geometry as POSCAR:
```
U3Ge3Ir2
1.0
7.830 0.000 0.000
0.000 14.466 0.000
0.000 0.000 5.625
U Ge Ir
12 12 8
direct
0.033 0.105 0.109
0.033 0.395 0.109
0.163 0.250 0.645
0.337 0.750 0.145
0.467 0.605 0.609
0.467 0.895 0.609
0.533 0.105 0.391
0.533 0.395 0.391
0.663 0.250 0.855
0.837 0.750 0.355
0.967 0.605 0.891
0.967 0.895 0.891
0.187 0.039 0.595
0.187 0.461 0.595
0.190 0.750 0.655
0.310 0.250 0.155
0.313 0.539 0.095
0.313 0.961 0.095
0.687 0.039 0.905
0.687 0.461 0.905
0.690 0.750 0.845
0.810 0.250 0.345
0.813 0.539 0.405
0.813 0.961 0.405
0.103 0.615 0.377
0.103 0.885 0.377
0.397 0.115 0.877
0.397 0.385 0.877
0.603 0.615 0.123
0.603 0.885 0.123
0.897 0.115 0.623
0.897 0.385 0.623
```

[13]
Here is a geometry-optimized U2Ge2Ir structure from Alexandria. Energies are from PBE.

Results
The formation energy is -0.336 eV per atom. The value obtained for the mass density is 13.8 g/cm3. The symmetry is Cmc2_1, No. 36. The density of states at the Fermi level is 12.94 states/eV per cell. Its final energy is -84.71 eV/cell. The calculation puts the total magnetization at 5.90 μB per cell.

Geometry as POSCAR:
```
U2Ge2Ir
1.0
2.233 -7.313 0.000
2.233 7.313 0.000
0.000 0.000 5.985
U Ge Ir
4 4 2
direct
0.026 0.974 0.500
0.197 0.803 0.372
0.803 0.197 0.872
0.974 0.026 0.000
0.177 0.823 0.867
0.417 0.583 0.705
0.583 0.417 0.205
0.823 0.177 0.367
0.401 0.599 0.277
0.599 0.401 0.777
```

[14]
Here is a geometry-optimized UGeIr structure from Alexandria. Energies are from PBE.

Results
The formation energy is -0.549 eV per atom. The value obtained for the mass density is 14.8 g/cm3. The symmetry is P-6m2, No. 187. The density of states at the Fermi level is 3.81 states/eV per cell. Its final energy is -26.41 eV/cell. The calculation puts the total magnetization at 1.17 μB per cell.

Geometry as POSCAR:
```
UGeIr
1.0
4.394 0.000 0.000
-2.197 3.805 0.000
0.000 0.000 3.369
U Ge Ir
1 1 1
direct
0.000 0.000 0.000
0.667 0.333 0.500
0.333 0.667 0.500
```

[15]
Here is a geometry-optimized UGeIr structure from Alexandria. Energies are from PBE.

Results
The formation energy is -0.580 eV per atom. The value obtained for the mass density is 14.9 g/cm3. The symmetry is Pnma, No. 62. The density of states at the Fermi level is 12.03 states/eV per cell. Its final energy is -106.03 eV/cell. The calculation puts the total magnetization at 4.74 μB per cell.

Geometry as POSCAR:
```
UGeIr
1.0
6.665 0.000 0.000
0.000 4.372 0.000
0.000 0.000 7.693
U Ge Ir
4 4 4
direct
0.008 0.250 0.205
0.492 0.750 0.705
0.508 0.250 0.295
0.992 0.750 0.795
0.184 0.250 0.585
0.316 0.750 0.085
0.684 0.250 0.915
0.816 0.750 0.415
0.228 0.750 0.415
0.272 0.250 0.915
0.728 0.750 0.085
0.772 0.250 0.585
```

[16]
Here is a geometry-optimized U4Ge5Ir3 structure from Alexandria. Energies are from PBE.

Results
The formation energy is -0.058 eV per atom. The value obtained for the mass density is 12.2 g/cm3. The symmetry is C2/m, No. 12. The density of states at the Fermi level is 18.69 states/eV per cell. Its final energy is -95.51 eV/cell. The calculation puts the total magnetization at 4.45 μB per cell.

Geometry as POSCAR:
```
U4Ge5Ir3
1.0
6.353 -2.398 0.000
6.353 2.398 0.000
-3.980 0.000 8.454
U Ge Ir
4 5 3
direct
0.113 0.113 0.259
0.282 0.282 0.189
0.718 0.718 0.811
0.887 0.887 0.741
0.226 0.226 0.614
0.374 0.374 0.944
0.500 0.500 0.500
0.626 0.626 0.056
0.774 0.774 0.386
0.000 0.000 0.500
0.486 0.486 0.760
0.514 0.514 0.240
```

[17]
Here is a geometry-optimized V2GeIr structure from Alexandria. Energies are from PBE.

Results
The formation energy is -0.141 eV per atom. The value obtained for the mass density is 10.7 g/cm3. The symmetry is R-3m, No. 166. The density of states at the Fermi level is 4.36 states/eV per cell. Its final energy is -32.28 eV/cell. The calculation puts the total magnetization at 0.00 μB per cell.

Geometry as POSCAR:
```
V2GeIr
1.0
1.375 0.794 8.651
-1.375 0.794 8.651
0.000 -1.588 8.651
V Ge Ir
2 1 1
direct
0.250 0.250 0.250
0.750 0.750 0.750
0.000 0.000 0.000
0.500 0.500 0.500
```

[18]
Here is a geometry-optimized V2GeIr structure from Alexandria. Energies are from PBE.

Results
The formation energy is 0.155 eV per atom. The value obtained for the mass density is 9.9 g/cm3. The symmetry is I-42d, No. 122. The density of states at the Fermi level is 7.78 states/eV per cell. Its final energy is -62.19 eV/cell. The calculation puts the total magnetization at 0.00 μB per cell.

Geometry as POSCAR:
```
V2GeIr
1.0
-3.422 3.422 2.631
3.422 -3.422 2.631
3.422 3.422 -2.631
V Ge Ir
4 2 2
direct
0.116 0.625 0.991
0.375 0.366 0.491
0.634 0.125 0.009
0.875 0.884 0.509
0.250 0.750 0.500
0.500 0.500 0.000
0.000 0.000 0.000
0.750 0.250 0.500
```

[19]
Here is a geometry-optimized VGe2Ir2 structure from Alexandria. Energies are from PBE.

Results
The formation energy is -0.052 eV per atom. The value obtained for the mass density is 12.9 g/cm3. The symmetry is P4/mbm, No. 127. The density of states at the Fermi level is 8.02 states/eV per cell. Its final energy is -72.67 eV/cell. The calculation puts the total magnetization at 1.69 μB per cell.

Geometry as POSCAR:
```
VGe2Ir2
1.0
7.287 0.000 0.000
0.000 7.287 0.000
0.000 0.000 2.822
V Ge Ir
2 4 4
direct
0.000 0.000 0.000
0.500 0.500 0.000
0.152 0.348 0.000
0.348 0.848 0.000
0.652 0.152 0.000
0.848 0.652 0.000
0.149 0.649 0.500
0.351 0.149 0.500
0.649 0.851 0.500
0.851 0.351 0.500
```